Entry 1:
Compound: KNb3B
Source: the Alexandria database
Functional: PBEsol
Structure: relaxed

Cell: 4.4602 4.4602 4.4602 Å, 90.00 90.00 90.00°
Fractional coordinates of all 5 atoms:
Nb1 0.5000 0.0000 0.0000
Nb2 0.0000 0.5000 0.0000
Nb3 0.0000 0.0000 0.5000
B1 0.5000 0.5000 0.5000
K1 0.0000 0.0000 0.0000

Results
The value obtained for the volume is 17.746 Å³/atom. For the formation energy, the calculation gives 3188 meV per atom.



Entry 2:
Compound: K3Nb3B2O12
Source: the Alexandria database
Functional: PBEsol
Structure: relaxed

Cell: 3.9288 8.8686 8.8686 Å, 120.00 90.00 90.00°
Fractional coordinates of all 20 atoms:
Nb1 0.0000 0.7527 0.0000
Nb2 0.0000 0.0000 0.7527
Nb3 0.0000 0.2473 0.2473
K1 0.5000 0.4038 0.0000
K2 0.5000 0.0000 0.4038
K3 0.5000 0.5962 0.5962
O1 0.5000 0.7343 0.0000
O2 0.0000 0.6848 0.1886
O3 0.0000 0.1886 0.6848
O4 0.0000 0.8213 0.8213
O5 0.0000 0.1787 0.0000
O6 0.5000 0.2657 0.2657
O7 0.0000 0.5038 0.3152
O8 0.5000 0.0000 0.7343
O9 0.0000 0.8114 0.4962
O10 0.0000 0.3152 0.5038
O11 0.0000 0.4962 0.8114
O12 0.0000 0.0000 0.1787
B1 0.0000 0.3333 0.6667
B2 0.0000 0.6667 0.3333

Results
The value obtained for the volume is 13.380 Å³/atom. Its total DFT energy (no corrections) is -8.11 eV per atom.



Entry 3:
Compound: K3Nb3B2O12
Source: the Alexandria database
Functional: PBEsol
Structure: relaxed

Cell: 3.9641 15.3306 17.6975 Å, 90.00 90.00 90.00°
Fractional coordinates of all 80 atoms:
O1 0.9976 0.0938 0.7379
O2 0.9782 0.4061 0.4880
O3 0.9782 0.5939 0.4880
O4 0.0076 0.8419 0.8599
O5 0.9959 0.9102 0.5777
O6 0.0183 0.7521 0.7506
O7 0.0055 0.2520 0.0008
O8 0.4979 0.8678 0.4668
O9 0.0119 0.4102 0.8278
O10 0.5056 0.0000 0.1648
O11 0.0024 0.9062 0.2379
O12 0.9817 0.2479 0.2506
O13 0.0183 0.2479 0.7506
O14 0.4852 0.5000 0.4151
O15 0.0119 0.5898 0.8278
O16 0.9890 0.5000 0.1932
O17 0.9809 0.3420 0.1098
O18 0.0002 0.0000 0.9431
O19 0.5128 0.6322 0.7168
O20 0.9998 0.0000 0.4431
O21 0.9924 0.1581 0.3599
O22 0.4944 0.0000 0.6648
O23 0.0041 0.0898 0.0777
O24 0.9881 0.5898 0.3278
O25 0.4872 0.6322 0.2168
O26 0.5021 0.1322 0.9668
O27 0.5021 0.8678 0.9668
O28 0.0218 0.4061 0.9880
O29 0.0191 0.6580 0.6098
O30 0.5128 0.3678 0.7168
O31 0.9881 0.4102 0.3278
O32 0.9945 0.2520 0.5008
O33 0.9945 0.7480 0.5008
O34 0.9817 0.7521 0.2506
O35 0.9924 0.8419 0.3599
O36 0.0055 0.7480 0.0008
O37 0.0218 0.5939 0.9880
O38 0.5148 0.5000 0.9151
O39 0.9809 0.6580 0.1098
O40 0.9976 0.9062 0.7379
O41 0.4872 0.3678 0.2168
O42 0.4979 0.1322 0.4668
O43 0.0076 0.1581 0.8599
O44 0.0024 0.0938 0.2379
O45 0.9959 0.0898 0.5777
O46 0.0110 0.5000 0.6932
O47 0.0041 0.9102 0.0777
O48 0.0191 0.3420 0.6098
K1 0.5022 0.2016 0.1335
K2 0.4872 0.0000 0.8313
K3 0.4978 0.7984 0.6335
K4 0.5022 0.7984 0.1335
K5 0.4978 0.2016 0.6335
K6 0.5049 0.5000 0.0813
K7 0.4935 0.2984 0.8837
K8 0.5128 0.0000 0.3313
K9 0.4951 0.5000 0.5813
K10 0.5065 0.7016 0.3837
K11 0.4935 0.7016 0.8837
K12 0.5065 0.2984 0.3837
B1 0.0028 0.3334 0.0329
B2 0.9923 0.1666 0.2828
B3 0.0028 0.6666 0.0329
B4 0.9923 0.8334 0.2828
B5 0.0077 0.8334 0.7828
B6 0.9972 0.6666 0.5329
B7 0.9972 0.3334 0.5329
B8 0.0077 0.1666 0.7828
Nb1 0.9874 0.5000 0.9066
Nb2 0.0252 0.8763 0.4710
Nb3 0.9748 0.1237 0.9710
Nb4 0.9672 0.0000 0.6564
Nb5 0.9748 0.8763 0.9710
Nb6 0.0328 0.0000 0.1564
Nb7 0.0146 0.3763 0.2210
Nb8 0.9854 0.6237 0.7210
Nb9 0.9854 0.3763 0.7210
Nb10 0.0126 0.5000 0.4066
Nb11 0.0252 0.1237 0.4710
Nb12 0.0146 0.6237 0.2210

Results
The value obtained for the volume is 13.444 Å³/atom. Its total DFT energy (no corrections) is -8.11 eV per atom.



Entry 4:
Compound: KSrNbB2
Source: the Alexandria database
Functional: PBEsol
Structure: relaxed

Cell: 4.7566 4.7566 5.0558 Å, 90.00 90.00 90.00°
Fractional coordinates of all 5 atoms:
K1 0.0000 0.0000 0.5000
B1 0.0000 0.5000 0.0000
B2 0.5000 0.0000 0.0000
Nb1 0.5000 0.5000 0.5000
Sr1 0.0000 0.0000 0.0000

Results
The value obtained for the volume is 22.878 Å³/atom. For the formation energy, the calculation gives 2618 meV per atom.



Entry 5:
Compound: K3NdB2O6
Source: the Alexandria database
Functional: PBEsol
Structure: relaxed

Cell: 7.1834 9.0196 11.1478 Å, 90.00 90.00 90.00°
Fractional coordinates of all 48 atoms:
O1 0.5817 0.3706 0.1700
O2 0.2500 0.0079 0.5107
O3 0.0817 0.1294 0.6700
O4 0.2500 0.5079 0.9893
O5 0.2500 0.9080 0.1114
O6 0.2500 0.1184 0.2408
O7 0.7500 0.3816 0.7408
O8 0.7500 0.3408 0.5297
O9 0.4183 0.6294 0.8300
O10 0.7500 0.5920 0.6114
O11 0.0817 0.6294 0.8300
O12 0.9183 0.3706 0.1700
O13 0.7500 0.8408 0.9703
O14 0.2500 0.1592 0.0297
O15 0.7500 0.8816 0.7592
O16 0.9183 0.8706 0.3300
O17 0.2500 0.4080 0.3886
O18 0.2500 0.6184 0.2592
O19 0.7500 0.4921 0.0107
O20 0.5817 0.8706 0.3300
O21 0.7500 0.0920 0.8886
O22 0.7500 0.9921 0.4893
O23 0.4183 0.1294 0.6700
O24 0.2500 0.6592 0.4703
Nd1 0.7500 0.1285 0.6700
Nd2 0.7500 0.6285 0.8300
Nd3 0.2500 0.8715 0.3300
Nd4 0.2500 0.3715 0.1700
K1 0.7500 0.5596 0.3671
K2 0.9986 0.6962 0.0949
K3 0.5014 0.1962 0.4051
K4 0.5014 0.6962 0.0949
K5 0.4986 0.3038 0.9051
K6 0.2500 0.9404 0.8671
K7 0.9986 0.1962 0.4051
K8 0.0014 0.3038 0.9051
K9 0.0014 0.8038 0.5949
K10 0.4986 0.8038 0.5949
K11 0.7500 0.0596 0.1329
K12 0.2500 0.4404 0.6329
B1 0.2500 0.5598 0.3769
B2 0.2500 0.0898 0.6169
B3 0.2500 0.5898 0.8831
B4 0.7500 0.9102 0.3831
B5 0.7500 0.4402 0.6231
B6 0.2500 0.0598 0.1231
B7 0.7500 0.4102 0.1169
B8 0.7500 0.9402 0.8769

Results
The value obtained for the volume is 15.048 Å³/atom. Its total DFT energy (no corrections) is -6.98 eV per atom.



Entry 6:
Compound: K3NiB
Source: the Alexandria database
Functional: PBEsol
Structure: relaxed

Cell: 5.8503 5.8503 5.8503 Å, 90.00 90.00 90.00°
Fractional coordinates of all 5 atoms:
Ni1 0.5000 0.5000 0.5000
K1 0.0000 0.5000 0.0000
K2 0.5000 0.0000 0.0000
K3 0.0000 0.0000 0.5000
B1 0.0000 0.0000 0.0000

Results
The value obtained for the volume is 40.046 Å³/atom. For the formation energy, the calculation gives 1380 meV per atom. The calculation puts the offset from the most stable computed form at 0.000 eV/f.u.